Here is a relaxed structure of Pr3Co3Pb from the Alexandria database. Energies are from GGA-PBE.

Output
mass density = 7.8 g/cm³
DOS(E_F) = 19.25 states/eV/cell
total energy = -81.14 eV/cell
space-group type = P6_3/m, No. 176

Cell and atoms, written as extended XYZ:
```
14
Lattice="-2.143 3.057 -0.949 -7.508 -3.439 5.883 7.063 6.156 3.876" Properties=species:S:1:pos:R:3 pbc="T T T"
Pr 1.671 2.857 1.521
Pr -4.259 2.916 7.289
Co 4.347 7.886 3.858
Pb -3.187 0.523 4.977
Co -0.697 3.144 -0.025
Co -1.855 4.720 7.668
Co -1.891 2.629 8.835
Pr 3.769 5.497 5.285
Pr -0.430 2.811 6.117
Co -6.936 -2.113 4.952
Pr -6.358 0.276 3.525
Pr -2.159 2.962 2.693
Co -0.734 1.053 1.142
Pb 0.599 5.250 3.833
```